MnBClO2, relaxed, DFT GGA+U; VASP energy = -6.941 eV/atom; SG = P2_1/m (11)
1.0
5.8986 0.0000 0.0000
0.0000 4.5391 0.0000
-0.2449 0.0000 7.2146
Mn B Cl O
2 2 2 4
direct
0.1067 0.2500 0.2166
0.8933 0.7500 0.7834
0.3763 0.7500 0.6249
0.6237 0.2500 0.3751
0.1945 0.7500 0.0742
0.8055 0.2500 0.9258
0.1620 0.7500 0.6139
0.4096 0.2500 0.3650
0.5904 0.7500 0.6350
0.8380 0.2500 0.3861